(1)
Here is an optimized crystal structure of ThZr3 from OQMD via LeMat-Bulk. Energies are from PBE.

Cell lengths 6.6216, 6.6216, 5.4014 Å; angles 90.00, 90.00, 120.00 degrees
Space group P6_3/mmc (No. 194)
One atom of each set of equivalent atoms:
Th1 0.3333 0.6667 0.2500 x2
Zr1 0.1568 0.3136 0.7500 x6

distance to the lowest polymorph of the same formula: 9.1 meV/atom
calculated formation energy: 0.072 eV/atom



(2)
Here is an optimized crystal structure of ThZr3 from OQMD via LeMat-Bulk. Energies are from PBE.

Cell lengths 5.424, 6.533, 5.758 Å; angles 90.00, 90.00, 90.00 degrees
Space group Pmmn (No. 59, origin choice 2)
One atom of each set of equivalent atoms:
Th1 0.250 0.250 0.148 x2
Zr1 0.250 0.008 0.653 x4
Zr2 0.250 0.750 0.198 x2

distance to the lowest polymorph of the same formula: 0.0 meV/atom
calculated formation energy: 0.063 eV/atom



(3)
Here is an optimized crystal structure of ThZr3 from OQMD via LeMat-Bulk. Energies are from PBE.

Cell lengths 6.543, 11.330, 5.482 Å; angles 90.00, 90.00, 90.00 degrees
Space group Cmcm (No. 63)
One atom of each set of equivalent atoms:
Th1 0.000 0.086 0.250 x4
Zr1 0.000 0.414 0.750 x4
Zr2 0.244 0.329 0.250 x8

distance to the lowest polymorph of the same formula: 31.2 meV/atom
calculated formation energy: 0.094 eV/atom



(4)
Here is an optimized crystal structure of Th3Zr4 from OQMD via LeMat-Bulk. Energies are from PBE.

Cell lengths 8.8780, 8.8780, 5.5543 Å; angles 90.00, 90.00, 120.00 degrees
Space group P6_3/m (No. 176)
One atom of each set of equivalent atoms:
Th1 0.0571 0.8026 0.2500 x6
Zr1 0.1041 0.6090 0.7500 x6
Zr2 0.3333 0.6667 0.2500 x2

distance to the lowest polymorph of the same formula: 25.6 meV/atom
calculated formation energy: 0.110 eV/atom



(5)
Here is an optimized crystal structure of Tm2Tl from OQMD via LeMat-Bulk. Energies are from PBE.

Cell lengths 13.062, 13.062, 13.062 Å; angles 90.00, 90.00, 90.00 degrees
Space group Fd-3m (No. 227, origin choice 2)
One atom of each set of equivalent atoms:
Tm1 0.000 0.000 0.000 x16
Tl1 0.125 0.125 0.125 x8

electronic total energy: -2.313 eV per atom



(6)
Here is an optimized crystal structure of Tm2Tl from OQMD via LeMat-Bulk. Energies are from PBE.

Cell lengths 8.856, 8.856, 8.856 Å; angles 90.00, 90.00, 90.00 degrees
Space group Fd-3m (No. 227, origin choice 2)
One atom of each set of equivalent atoms:
Tm1 0.000 0.000 0.000 x16
Tl1 0.125 0.125 0.625 x8

electronic total energy: -3.542 eV per atom



(7)
Here is an optimized crystal structure of TmTl from OQMD via LeMat-Bulk. Energies are from PBE.

Cell lengths 6.818, 6.818, 6.818 Å; angles 90.00, 90.00, 90.00 degrees
Space group F-43m (No. 216)
One atom of each set of equivalent atoms:
Tm1 0.000 0.000 0.000 x4
Tl1 0.250 0.250 0.250 x4

electronic total energy: -2.739 eV per atom



(8)
Here is an optimized crystal structure of TmTl from OQMD via LeMat-Bulk. Energies are from PBE.

Cell lengths 3.5789, 3.5789, 5.0002 Å; angles 90.00, 90.00, 120.00 degrees
Space group P-6m2 (No. 187)
One atom of each set of equivalent atoms:
Tm1 0.0000 0.0000 0.0000 x1
Tl1 0.3333 0.6667 0.5000 x1

electronic total energy: -3.591 eV per atom



| no. | total moment (μB/atom) |
| --- | --- |
| 1 | 0.001 |
| 2 | 0.000 |
| 3 | 0.006 |
| 4 | 0.000 |
| 5 | 0.004 |
| 6 | 0.004 |
| 7 | 0.010 |
| 8 | 0.179 |